Entry 1:
Hf12Ga6Mo: optimized geometry, GGA-PBE.

Cell and atoms, written as extended XYZ:
```
19
Lattice="5.8152 3.3574 3.6218 -5.8152 3.3574 3.6218 0.0000 -6.7148 3.6218" Properties=species:S:1:pos:R:3 pbc="T T T"
Hf -5.3694 -1.3677 5.7772
Hf -1.5003 -5.3339 5.0881
Hf -1.9949 -0.3361 4.1779
Hf -3.8692 3.9662 5.0881
Hf 1.2886 -1.5596 4.1779
Hf -0.7064 -1.8957 6.6874
Hf 0.7064 1.8957 4.1779
Hf -1.2886 1.5596 6.6874
Hf 3.8692 -3.9662 5.7772
Hf 1.9949 0.3361 6.6874
Hf 1.5002 5.3339 5.7772
Hf 5.3694 1.3677 5.0881
Ga -1.1058 -2.9201 3.9622
Ga -1.9760 2.4177 3.9622
Ga -3.0818 -0.5024 6.9031
Ga 3.0818 0.5024 3.9622
Ga 1.9760 -2.4177 6.9031
Ga 1.1058 2.9201 6.9031
Mo 0.0000 0.0000 0.0000
```

Summary:
DFT formation energy ... 145 meV per atom

---

Entry 2:
HfGa3Mo: optimized geometry, GGA-PBE.

Cell and atoms, written as extended XYZ:
```
5
Lattice="4.7541 0.0000 0.0000 0.0000 4.7541 0.0000 0.0000 0.0000 4.7541" Properties=species:S:1:pos:R:3 pbc="T T T"
Hf 0.0000 0.0000 0.0000
Ga 0.0000 2.3771 2.3771
Ga 2.3771 0.0000 2.3771
Ga 2.3771 2.3771 0.0000
Mo 2.3771 2.3771 2.3771
```

Summary:
Distance to the lowest polymorph of the same formula ... 3.236 eV per formula unit
DFT formation energy ... 592 meV per atom

---

Entry 3:
HfGa3Mo: optimized geometry, GGA-PBE.

Cell and atoms, written as extended XYZ:
```
5
Lattice="5.0571 0.0000 0.0000 0.0000 5.0571 0.0000 0.0000 0.0000 5.0571" Properties=species:S:1:pos:R:3 pbc="T T T"
Hf 0.0000 0.0000 0.0000
Ga 0.0000 0.0000 2.5285
Ga 0.0000 2.5285 0.0000
Ga 2.5285 0.0000 0.0000
Mo 2.5285 2.5285 2.5285
```

Summary:
Distance to the lowest polymorph of the same formula ... 6.340 eV per formula unit
DFT formation energy ... 1213 meV per atom

---

Entry 4:
HfGa3Mo: optimized geometry, GGA-PBE.

Cell and atoms, written as extended XYZ:
```
10
Lattice="4.3517 0.0000 0.0000 0.0000 5.9209 0.0000 0.0000 0.0000 6.8307" Properties=species:S:1:pos:R:3 pbc="T T T"
Hf 1.0879 1.4802 1.5677
Hf 3.2638 4.4407 5.2629
Ga 1.0879 0.2430 5.2968
Ga 1.0879 2.7175 5.2968
Ga 1.0879 4.4407 3.1374
Ga 3.2638 1.4802 3.6933
Ga 3.2638 3.2034 1.5338
Ga 3.2638 5.6779 1.5338
Mo 1.0879 4.4407 0.4683
Mo 3.2638 1.4802 6.3624
```

Summary:
Distance to the lowest polymorph of the same formula ... 0.000 eV per formula unit
DFT formation energy ... -55 meV per atom